No. 1
VASP calculation (PBE) on a relaxed CaFeHg3 crystal.

Results
- Calculated density: 9.09 g cm⁻³
- Size of the total moment: 0.00 μB/f.u.
- Calculated volume: 127.5 Å³ per cell
- ΔE to the lowest computed polymorph: 0.000 eV/atom
- Symmetry: Pm-3m, No. 221

a b c (Å): 5.0327 5.0327 5.0327
angles (deg): 90.00 90.00 90.00
Positions (direct):
Ca: 0.5000 0.5000 0.5000
Hg: 0.0000 0.5000 0.0000
Hg: 0.0000 0.0000 0.5000
Hg: 0.5000 0.0000 0.0000
Fe: 0.0000 0.0000 0.0000

No. 2
VASP calculation (PBE) on a relaxed CaLaFeHg2 crystal.

Results
- Calculated density: 6.28 g cm⁻³
- Size of the total moment: 1.57 μB/f.u.
- Calculated volume: 168.1 Å³ per cell
- Symmetry: P4/mmm, No. 123

a b c (Å): 5.9487 4.7514 5.9487
angles (deg): 90.00 90.00 90.00
Each line ends with the local moment (μB).
Positions (direct):
Fe: 0.0000 0.5000 0.0000  1.84
Ca: 0.5000 0.5000 0.5000  0.00
Hg: 0.0000 0.0000 0.5000  0.00
Hg: 0.5000 0.0000 0.0000  -0.02
La: 0.0000 0.0000 0.0000  -0.19

no.,uncorrected energy (eV per atom)
1,-2.111
2,-2.717